Density functional theory data (PBE-GGA) for HoEr5In3 after structural relaxation.

Properties
Spin magnetization, Bohr magnetons per cell: 0.0
Raw total energy, eV/f.u.: -38.8
N(E_F), states/eV per atom: 1.03

Cell: 6.679 9.263 9.263 Å, 120.00 90.00 90.00°
Fractional positions:
In  0.250  0.666  0.666
Er  0.500  0.667  0.333
In  0.750  0.334  0.334
Er  0.750  0.333  0.000
Ho  0.000  0.000  0.000
Er  0.750  0.667  0.667
In  0.750  0.666  0.000
Er  0.250  0.667  0.000
Er  0.500  0.333  0.667
Er  0.250  0.333  0.333
Ho  0.500  0.000  0.000
In  0.250  0.334  0.000
Er  0.750  0.000  0.333
Er  0.000  0.667  0.333
Er  0.000  0.333  0.667
Er  0.250  0.000  0.667
In  0.750  0.000  0.666
In  0.250  0.000  0.334



Density functional theory data (PBE-GGA) for ReC after structural relaxation.

Properties
Spin magnetization, Bohr magnetons per cell: 0.0
Energy above the most stable polymorph in this dataset, eV per atom: 0.2951
N(E_F), states/eV per atom: 0.33

Cell: 3.838 3.838 6.709 Å, 70.66 70.66 43.75°
Fractional positions:
Re  0.205  0.205  0.928
C  0.897  0.897  0.998
Re  0.031  0.031  0.613
Re  0.368  0.368  0.249
C  0.616  0.616  0.356
C  0.717  0.717  0.690



Density functional theory data (PBE-GGA) for AcZnPt2 after structural relaxation.

Properties
Spin magnetization, Bohr magnetons per cell: 0.0
Raw total energy, eV/f.u.: -21.1
N(E_F), states/eV per atom: 0.28

Cell: 4.378 4.194 9.735 Å, 102.44 90.00 90.00°
Fractional positions:
Pt  0.250  0.253  0.505
Zn  0.250  0.676  0.352
Ac  0.750  0.101  0.203
Zn  0.750  0.324  0.648
Pt  0.250  0.543  0.086
Pt  0.750  0.457  0.914
Ac  0.250  0.899  0.797
Pt  0.750  0.747  0.495



Density functional theory data (PBE-GGA) for SmMg4Tl7 after structural relaxation.

Properties
Spin magnetization, Bohr magnetons per cell: 0.0
Raw total energy, eV/f.u.: -27.6
N(E_F), states/eV per atom: 0.39

Cell: 6.006 8.654 7.801 Å, 68.05 67.36 69.70°
Fractional positions:
Mg  0.305  0.335  0.054
Mg  0.526  0.304  0.644
Tl  0.931  0.404  0.733
Tl  0.274  0.688  0.765
Tl  0.726  0.312  0.235
Tl  0.207  0.109  0.477
Tl  0.500  0.000  0.000
Mg  0.474  0.696  0.356
Mg  0.695  0.665  0.946
Sm  0.000  0.000  0.000
Tl  0.069  0.596  0.267
Tl  0.793  0.891  0.523



Density functional theory data (PBE-GGA) for TlWBr after structural relaxation.

Properties
Spin magnetization, Bohr magnetons per cell: 0.0
E_form (uncorrected), eV per atom: 1.068
Energy above the most stable polymorph in this dataset, eV per atom: 0.4382
N(E_F), states/eV per atom: 0.64

Cell: 5.976 5.976 5.976 Å, 150.92 140.64 49.67°
Fractional positions:
Tl  0.330  0.330  0.000
W  0.629  0.629  0.000
Br  0.042  0.042  0.000



Density functional theory data (PBE-GGA) for Hf3SbP after structural relaxation.

Properties
Spin magnetization, Bohr magnetons per cell: 0.0
E_form (uncorrected), eV per atom: -0.182
Energy above the most stable polymorph in this dataset, eV per atom: 0.5740
N(E_F), states/eV per atom: 2.08

Cell: 4.832 4.832 4.832 Å, 90.00 90.00 90.00°
Fractional positions:
Hf  0.000  0.500  0.000
Sb  0.500  0.500  0.500
Hf  0.000  0.000  0.500
P  0.000  0.000  0.000
Hf  0.500  0.000  0.000